MnSi4P | PBE-GGA | optimized geometry

The total energy comes out at -5.500 eV per atom. As for the uncorrected formation energy: 0.54 eV per atom.

The space group is F-43m (No. 216) and the conventional cell measures 7.075, 7.075 and 7.075 Å, with angles of 90.00, 90.00 and 90.00 degrees. The distinct sites, in fractional coordinates, are Mn at (0.000, 0.000, 0.000), Si at (0.125, 0.125, 0.375) and P at (0.250, 0.250, 0.750).